A plane-wave DFT calculation with GGA-PBEsol was carried out for a relaxed LaYOs2 crystal.

## Properties
The energy of formation is 0.162 eV per atom. For the density of states at the Fermi level, the calculation gives 5.1 states/eV per cell. As for the volume: 81.9 Å³/f.u. The value obtained for the magnetization is 0.00 μB per cell.

Lattice parameters (Å, degrees): 11.277 3.193 4.893 90.00 111.52 90.00
Space group Cm (No. 8)
Symmetry-distinct sites (fractional):
1 La 0.000 0.000 0.000 (multiplicity 2)
2 Y 0.284 0.500 0.260 (multiplicity 2)
3 Os 0.047 0.500 0.558 (multiplicity 2)
4 Os 0.241 0.000 0.703 (multiplicity 2)